Compound: Ru2PtRh3
Source: Alexandria via LeMat-Bulk
Functional: PBE-GGA
Structure: optimized geometry

Calculated volume = 17.05 Å³/atom
Total moment = 0.001 μB per formula unit
SG = Ibam (72)
Crystal system = orthorhombic
VASP energy = -7.18 eV/atom
ΔH_f (0 K) = 599 meV/atom

Cell lengths 6.366, 5.348, 7.308 Å; angles 111.46, 115.82, 90.00 degrees
Element x y z (fractional)
Pt1 0.000 0.500 0.000
Ru1 0.479 0.651 0.302
Rh1 0.201 0.451 0.402
Ru2 0.521 0.349 0.698
Rh2 0.500 0.250 0.000
Rh3 0.500 0.750 0.000
Rh4 0.799 0.549 0.598
Pt2 0.000 0.000 0.000
Ru3 0.823 0.151 0.302
Rh5 0.799 0.049 0.598
Ru4 0.177 0.849 0.698
Rh6 0.201 0.951 0.402